Record 1
Below is a relaxed AgW2 crystal, with properties calculated at the PBE level.

Unit cell a=4.5509 b=4.5509 c=5.4938 alpha=90.00 beta=90.00 gamma=120.00
Space group P6_3/mmc (No. 194)
Asymmetric unit:
Ag1 0.3333 0.6667 0.2500 x2
W1 0.0000 0.0000 0.0000 x2
W2 0.3333 0.6667 0.7500 x2

Values from the calculation:
The theoretical density comes out at 16.03 g/cm³. The energy above the most stable polymorph in this dataset comes out at 319 meV/atom. The value obtained for the volume is 98.54 Å³/cell. The value obtained for the electronic total energy is -52.59 eV per cell. The total magnetization is 0.000 μB/f.u. The calculation puts the density of states at the Fermi level at 0.89 states/eV/atom. The energy relative to the elements is 0.821 eV per atom.



Record 2
Below is a relaxed Ac3AgO6 crystal, with properties calculated at the PBE level.

Unit cell a=5.7867 b=6.0260 c=11.7270 alpha=90.00 beta=113.59 gamma=90.00
Space group P2_1/c (No. 14)
Asymmetric unit:
Ac1 0.0000 0.0000 0.0000 x2
Ac2 0.2924 0.0490 0.7561 x4
Ag1 0.5000 0.0000 0.5000 x2
O1 0.0567 0.1021 0.2102 x4
O2 0.3492 0.7072 0.0959 x4
O3 0.3860 0.2397 0.0787 x4

Values from the calculation:
The theoretical density comes out at 7.84 g/cm³. The value obtained for the volume is 374.76 Å³/cell. The value obtained for the electronic total energy is -139.06 eV per cell. The total magnetization is 0.000 μB/f.u.



Record 3
Below is a relaxed Pm2ErMnSe5 crystal, with properties calculated at the PBE level.

Unit cell a=4.0482 b=17.3099 c=12.4238 alpha=90.00 beta=90.00 gamma=90.00
Space group Cmc2_1 (No. 36)
Asymmetric unit:
Pm1 0.0000 0.1173 0.0000 x4
Pm2 0.0000 0.1215 0.3488 x4
Er1 0.0000 0.1816 0.6785 x4
Mn1 0.0000 0.4456 0.0801 x4
Se1 0.0000 0.0158 0.6783 x4
Se2 0.0000 0.3030 0.3400 x4
Se3 0.0000 0.3073 0.0131 x4
Se4 0.0000 0.3446 0.6725 x4
Se5 0.0000 0.4950 0.4044 x4

Values from the calculation:
The theoretical density comes out at 6.92 g/cm³. The value obtained for the volume is 870.58 Å³/cell. The value obtained for the electronic total energy is -217.99 eV per cell. The total magnetization is 4.329 μB/f.u. The calculation puts the density of states at the Fermi level at 0.32 states/eV/atom.



Record 4
Below is a relaxed PrNd5Sm2Ho crystal, with properties calculated at the PBE level.

Unit cell a=8.9991 b=8.9991 c=15.5859 alpha=90.00 beta=90.00 gamma=90.00
Space group I4/mcm (No. 140)
Asymmetric unit:
Pr1 0.0000 0.0000 0.2500 x4
Nd1 0.0000 0.0000 0.0000 x4
Nd2 0.2076 0.2924 0.1372 x16
Sm1 0.1152 0.3848 0.5000 x8
Ho1 0.0000 0.5000 0.2500 x4

Values from the calculation:
The theoretical density comes out at 6.99 g/cm³. The value obtained for the volume is 1262.20 Å³/cell. The value obtained for the electronic total energy is -160.53 eV per cell. The total magnetization is 0.000 μB/f.u. The calculation puts the density of states at the Fermi level at 1.59 states/eV/atom. The energy relative to the elements is 0.278 eV per atom.